1.
A plane-wave DFT calculation with GGA-PBE was carried out for an optimized crystal structure of AlCuRu4.

The crystal system is cubic. As for the total magnetization: 0.34 μB/atom. The value obtained for the formation energy is 458 meV/atom. Its volume is 15.29 A^3/atom.

The space group is F-43m (No. 216) and the conventional cell measures 7.159, 7.159 and 7.159 Å, with angles of 90.00, 90.00 and 90.00 degrees. The distinct sites, in fractional coordinates, are Al at (0.000, 0.000, 0.000), Cu at (0.250, 0.250, 0.750) and Ru at (0.125, 0.125, 0.375).



2.
A plane-wave DFT calculation with GGA-PBE was carried out for an optimized crystal structure of AlCu3Ru.

The crystal system is cubic. As for the total magnetization: 0.32 μB/atom. The value obtained for the formation energy is 1056 meV/atom. Its volume is 16.13 A^3/atom.

The space group is Pm-3m (No. 221) and the conventional cell measures 4.320, 4.320 and 4.320 Å, with angles of 90.00, 90.00 and 90.00 degrees. The distinct sites, in fractional coordinates, are Al at (0.000, 0.000, 0.000), Cu at (0.000, 0.000, 0.500) and Ru at (0.500, 0.500, 0.500).



3.
A plane-wave DFT calculation with GGA-PBE was carried out for an optimized crystal structure of AlCu2Ru2.

The crystal system is tetragonal. As for the total magnetization: 0.00 μB/atom. The value obtained for the formation energy is 484 meV/atom. Its volume is 15.16 A^3/atom.

The space group is I4/mmm (No. 139) and the conventional cell measures 3.500, 3.500 and 12.372 Å, with angles of 90.00, 90.00 and 90.00 degrees. The distinct sites, in fractional coordinates, are Al at (0.000, 0.000, 0.000), Cu at (0.000, 0.000, 0.406) and Ru at (0.000, 0.500, 0.250).



4.
A plane-wave DFT calculation with GGA-PBE was carried out for an optimized crystal structure of AlCuRu.

The crystal system is orthorhombic. As for the total magnetization: 0.00 μB/atom. The value obtained for the formation energy is 6 meV/atom. Its volume is 13.78 A^3/atom.

The space group is Fmm2 (No. 42) and the conventional cell measures 3.034, 4.470 and 12.189 Å, with angles of 90.00, 90.00 and 90.00 degrees. The distinct sites, in fractional coordinates, are Al at (0.000, 0.000, 0.000), Cu at (0.000, 0.000, 0.336) and Ru at (0.000, 0.000, 0.660).



- What is the formula in the fourth record?
  AlCuRu